Material: PmNd3Zn
Method: DFT, GGA-PBE
State: relaxed

## Properties
symmetry: C2/m, No. 12
crystal system: monoclinic
excess energy over the best structure of this formula in the dataset: 0.170 eV/atom
mass density: 6423 kg/m³
energy relative to the elements: 0.056 eV per atom
total energy: -4.009 eV/atom
size of the total moment: 0.000 μB/cell

a b c (Å): 7.575 7.575 7.603
angles (deg): 105.85 116.54 106.11
Element x y z (fractional)
1 Pm 0.705 0.065 0.770
2 Pm 0.295 0.935 0.230
3 Nd 0.839 0.039 0.262
4 Nd 0.223 0.423 0.262
5 Nd 0.777 0.577 0.738
6 Nd 0.729 0.446 0.176
7 Nd 0.161 0.961 0.738
8 Nd 0.271 0.554 0.824
9 Zn 0.627 0.754 0.382
10 Zn 0.373 0.246 0.618